DFT (PBE-GGA) results for a relaxed structure of TlHg3F8.

The structure in POSCAR format:
```
TlHg3F8
1.0
5.681 0.000 0.000
0.000 5.681 0.000
0.000 0.000 5.681
Hg F Tl
3 8 1
Direct
0.000 0.500 0.500
0.500 0.000 0.500
0.500 0.500 0.000
0.753 0.753 0.753
0.247 0.753 0.247
0.753 0.753 0.247
0.753 0.247 0.753
0.247 0.247 0.753
0.247 0.247 0.247
0.247 0.753 0.753
0.753 0.247 0.247
0.000 0.000 0.000
```

uncorrected formation energy = -35.04 kcal/mol of atoms
crystal system = cubic
uncorrected energy = -0.1117 Ha/atom
symmetry = Pm-3m (221)

DFT (PBE-GGA) results for a relaxed structure of Tm2AgPd6.

The structure in POSCAR format:
```
Tm2AgPd6
1.0
-0.268 -1.748 -2.564
3.000 -6.151 3.880
-7.738 2.113 1.357
Tm Pd Ag
2 6 1
Direct
0.337 0.336 0.673
0.663 0.664 0.327
0.834 0.038 0.668
0.500 0.703 0.000
0.166 0.962 0.332
0.500 0.297 0.000
0.166 0.370 0.332
0.834 0.630 0.668
0.000 0.000 0.000
```

crystal system = monoclinic
uncorrected energy = -0.1904 Ha/atom
ΔH_f (0 K) = -0.409 eV/atom
symmetry = C2/m (12)

DFT (PBE-GGA) results for a relaxed structure of AcTbPr2Ho5.

The structure in POSCAR format:
```
AcTbPr2Ho5
1.0
-8.767 -1.061 0.255
-0.240 -0.139 -8.830
5.449 -7.191 4.384
Ho Tb Pr Ac
10 2 4 2
Direct
0.342 0.842 0.269
0.158 0.073 0.731
0.573 0.658 0.731
0.000 0.000 0.000
0.073 0.573 0.731
0.427 0.342 0.269
0.658 0.158 0.731
0.500 0.500 0.000
0.927 0.427 0.269
0.842 0.927 0.269
0.250 0.750 0.500
0.750 0.250 0.500
0.618 0.118 0.000
0.882 0.618 0.000
0.118 0.382 0.000
0.382 0.882 0.000
0.750 0.750 0.500
0.250 0.250 0.500
```

crystal system = tetragonal
uncorrected energy = -0.1588 Ha/atom
ΔH_f (0 K) = 0.255 eV/atom
symmetry = I4/mcm (140)

DFT (PBE-GGA) results for a relaxed structure of PrTm5Sn3.

The structure in POSCAR format:
```
PrTm5Sn3
1.0
7.411 0.000 0.000
0.000 7.411 0.000
-3.706 -3.706 9.649
Sn Tm Pr
6 10 2
Direct
0.871 0.629 0.000
0.371 0.871 0.000
0.250 0.250 0.500
0.129 0.371 0.000
0.750 0.750 0.500
0.629 0.129 0.000
0.570 0.684 0.754
0.430 0.316 0.246
0.070 0.570 0.754
0.816 0.930 0.246
0.184 0.070 0.754
0.316 0.816 0.246
0.000 0.000 0.000
0.500 0.500 0.000
0.684 0.184 0.754
0.930 0.430 0.246
0.750 0.250 0.500
0.250 0.750 0.500
```

crystal system = tetragonal
uncorrected energy = -0.1682 Ha/atom
ΔH_f (0 K) = -0.229 eV/atom
symmetry = I4/mcm (140)

> Which of these has the highest uncorrected energy?

TlHg3F8